(1)
The following is a PBE-GGA calculation of a geometry-optimized Hf3Ir2Rh2 structure, from Alexandria.

Calculated values
* spin magnetization: 0.0 μB per formula unit
* theoretical density: 14.9 g/cm3
* D(E_F): 2.73 states/eV/f.u.
* crystal system: monoclinic
* energy of formation: -0.82 eV per atom

Lattice parameters (Å, degrees): 4.598 4.598 7.902 114.34 114.34 58.40
Fractional coordinates of all 7 atoms:
1 Hf 0.000 0.000 0.000
2 Hf 0.468 0.468 0.283
3 Hf 0.532 0.532 0.717
4 Ir 0.273 0.273 0.874
5 Ir 0.727 0.727 0.126
6 Rh 0.201 0.201 0.381
7 Rh 0.799 0.799 0.619



(2)
The following is a PBE-GGA calculation of a geometry-optimized BaAl5Pt3 structure, from Alexandria.

Calculated values
* spin magnetization: 0.0 μB per formula unit
* theoretical density: 8.1 g/cm3
* D(E_F): 4.56 states/eV/f.u.
* crystal system: orthorhombic
* energy of formation: -0.90 eV per atom

Lattice parameters (Å, degrees): 6.858 6.858 12.957 90.00 90.00 144.59
Fractional coordinates of all 18 atoms:
1 Ba 0.168 0.832 0.750
2 Ba 0.832 0.168 0.250
3 Al 0.000 0.000 0.000
4 Al 0.000 0.000 0.500
5 Al 0.199 0.801 0.063
6 Al 0.199 0.801 0.437
7 Al 0.447 0.553 0.649
8 Al 0.447 0.553 0.851
9 Al 0.553 0.447 0.149
10 Al 0.553 0.447 0.351
11 Al 0.801 0.199 0.563
12 Al 0.801 0.199 0.937
13 Pt 0.114 0.886 0.250
14 Pt 0.388 0.612 0.035
15 Pt 0.388 0.612 0.465
16 Pt 0.612 0.388 0.535
17 Pt 0.612 0.388 0.965
18 Pt 0.886 0.114 0.750



(3)
The following is a PBE-GGA calculation of a geometry-optimized Mg3ScCr structure, from Alexandria.

Calculated values
* energy above the most stable polymorph in this dataset: 1.126 eV/atom
* spin magnetization: 1.1 μB per formula unit
* theoretical density: 1.9 g/cm3
* D(E_F): 4.71 states/eV/f.u.
* crystal system: cubic
* energy of formation: 1.80 eV per atom

Lattice parameters (Å, degrees): 5.306 5.306 5.306 90.00 90.00 90.00
Fractional coordinates of all 5 atoms:
1 Mg 0.000 0.000 0.500
2 Mg 0.000 0.500 0.000
3 Mg 0.500 0.000 0.000
4 Sc 0.000 0.000 0.000
5 Cr 0.500 0.500 0.500



(4)
The following is a PBE-GGA calculation of a geometry-optimized Ca3HgPd2 structure, from Alexandria.

Calculated values
* energy above the most stable polymorph in this dataset: 0.000 eV/atom
* spin magnetization: 0.0 μB per formula unit
* theoretical density: 6.2 g/cm3
* D(E_F): 1.14 states/eV/f.u.
* crystal system: tetragonal
* energy of formation: -0.64 eV per atom

Lattice parameters (Å, degrees): 3.631 3.631 10.790 90.00 90.00 90.00
Fractional coordinates of all 6 atoms:
1 Ca 0.000 0.000 0.000
2 Ca 0.000 0.000 0.315
3 Ca 0.000 0.000 0.685
4 Hg 0.500 0.500 0.500
5 Pd 0.500 0.500 0.157
6 Pd 0.500 0.500 0.843



(5)
The following is a PBE-GGA calculation of a geometry-optimized ZnGa4Hg structure, from Alexandria.

Calculated values
* energy above the most stable polymorph in this dataset: 0.088 eV/atom
* spin magnetization: 0.0 μB per formula unit
* theoretical density: 7.3 g/cm3
* D(E_F): 3.26 states/eV/f.u.
* crystal system: cubic
* energy of formation: 0.16 eV per atom

Lattice parameters (Å, degrees): 5.604 5.604 5.604 60.00 60.00 60.00
Fractional coordinates of all 6 atoms:
1 Zn 0.000 0.000 0.000
2 Ga 0.124 0.625 0.625
3 Ga 0.625 0.124 0.625
4 Ga 0.625 0.625 0.124
5 Ga 0.625 0.625 0.625
6 Hg 0.250 0.250 0.250



(6)
The following is a PBE-GGA calculation of a geometry-optimized In2AgPd9 structure, from Alexandria.

Calculated values
* spin magnetization: 0.0 μB per formula unit
* theoretical density: 11.0 g/cm3
* D(E_F): 15.66 states/eV/f.u.
* crystal system: tetragonal
* energy of formation: -0.28 eV per atom

Lattice parameters (Å, degrees): 4.038 4.038 11.988 90.00 90.00 90.00
Fractional coordinates of all 12 atoms:
1 In 0.000 0.000 0.168
2 In 0.000 0.000 0.832
3 Ag 0.000 0.000 0.500
4 Pd 0.000 0.500 0.000
5 Pd 0.000 0.500 0.334
6 Pd 0.000 0.500 0.666
7 Pd 0.500 0.000 0.000
8 Pd 0.500 0.000 0.334
9 Pd 0.500 0.000 0.666
10 Pd 0.500 0.500 0.168
11 Pd 0.500 0.500 0.500
12 Pd 0.500 0.500 0.832



(7)
The following is a PBE-GGA calculation of a geometry-optimized Ca2NiIr structure, from Alexandria.

Calculated values
* spin magnetization: 0.1 μB per formula unit
* theoretical density: 6.7 g/cm3
* D(E_F): 2.72 states/eV/f.u.
* crystal system: trigonal
* energy of formation: 0.25 eV per atom

Lattice parameters (Å, degrees): 8.720 8.720 8.720 22.07 22.07 22.07
Fractional coordinates of all 4 atoms:
1 Ca 0.249 0.249 0.249
2 Ca 0.751 0.751 0.751
3 Ni 0.500 0.500 0.500
4 Ir 0.000 0.000 0.000



(8)
The following is a PBE-GGA calculation of a geometry-optimized Y4AuCl structure, from Alexandria.

Calculated values
* formation energy from raw total energies: 306 meV/atom
* spin magnetization: 0.0 μB per formula unit
* theoretical density: 5.4 g/cm3
* D(E_F): 6.99 states/eV/f.u.
* crystal system: cubic

Lattice parameters (Å, degrees): 6.345 6.345 6.345 60.00 60.00 60.00
Fractional coordinates of all 6 atoms:
1 Y 0.124 0.124 0.124
2 Y 0.124 0.124 0.629
3 Y 0.124 0.629 0.124
4 Y 0.629 0.124 0.124
5 Au 0.750 0.750 0.750
6 Cl 0.500 0.500 0.500